Record 1
MoIr2Br: optimized geometry, PBE.

The energy relative to the elements, uncorrected comes out at 0.8889 eV per atom. For the distance to the lowest polymorph of the same formula, the calculation gives 0.531 eV per atom.

The structure belongs to space group I-42d (No. 122); the cell edges are 6.2620, 6.2620 and 9.1789 Å and the angles 90.00°, 90.00° and 90.00°. Symmetry generates all atoms from Mo at (0.0000, 0.0000, 0.0000), Ir at (0.2269, 0.2500, 0.1250) and Br at (0.0000, 0.0000, 0.5000).

Record 2
Li7InSb4: optimized geometry, PBE.

The energy relative to the elements, uncorrected comes out at -0.4088 eV per atom. For the distance to the lowest polymorph of the same formula, the calculation gives 0.000 eV per atom.

The structure belongs to space group P-1 (No. 2); the cell edges are 5.5783, 6.3944 and 7.7319 Å and the angles 102.56°, 90.04° and 103.55°. Symmetry generates all atoms from Li at (0.0000, 0.0000, 0.0000), Li at (0.1923, 0.6591, 0.6234), Li at (0.2473, 0.4998, 0.9411), Li at (0.3372, 0.1846, 0.5770), In at (0.5000, 0.0000, 0.0000), Sb at (0.1543, 0.7839, 0.2905) and Sb at (0.3090, 0.3586, 0.2592).

Record 3
SrLa2Si: optimized geometry, PBE.

The energy relative to the elements, uncorrected comes out at -0.2346 eV per atom.

The structure belongs to space group R-3m (No. 166, hexagonal axes); the cell edges are 4.2291, 4.2291 and 32.1973 Å and the angles 90.00°, 90.00° and 120.00°. Symmetry generates all atoms from Sr at (0.0000, 0.0000, 0.0000), La at (0.0000, 0.0000, 0.2190) and Si at (0.0000, 0.0000, 0.5000).

Record 4
BaZnCd: optimized geometry, PBE.

As for the formation energy from the elements: -0.241 eV/atom.

The structure belongs to space group P2_1/c (No. 14); the cell edges are 6.5086, 6.9711 and 9.0100 Å and the angles 90.00°, 114.76° and 90.00°. Symmetry generates all atoms from Ba at (0.2121, 0.1480, 0.3810), Zn at (0.3784, 0.6042, 0.2826) and Cd at (0.2352, 0.6251, 0.5387).